## Sm8OsRu2 (PBE)

Data for an optimized crystal structure of Sm8OsRu2.

Cell lengths 4.9415, 6.9614, 9.2479 Å; angles 106.09, 105.50, 90.00 degrees
Fractional positions:
Sm (0.9696, 0.2070, 0.9392)
Sm (0.0304, 0.7930, 0.0608)
Sm (0.7960, 0.6832, 0.5919)
Sm (0.6674, 0.9650, 0.3349)
Sm (0.4056, 0.5504, 0.8113)
Sm (0.3326, 0.0350, 0.6651)
Sm (0.2040, 0.3168, 0.4081)
Sm (0.5944, 0.4496, 0.1887)
Os (0.5000, 0.0000, 0.0000)
Ru (0.8127, 0.2999, 0.6255)
Ru (0.1873, 0.7001, 0.3745)

* volume: 26.7 Å³ per atom
* calculated formation energy: -0.143 eV per atom
* energy: -6.28 eV per atom
* total moment: 0.00 μB/f.u.
* crystal system: monoclinic

---

## LaBe3Pt3 (PBE)

Data for an optimized crystal structure of LaBe3Pt3.

Cell lengths 6.2275, 6.2275, 6.2275 Å; angles 90.00, 90.00, 90.00 degrees
Fractional positions:
Pt (0.5000, 0.0000, 0.2500)
Pt (0.0000, 0.7500, 0.5000)
Pt (0.5000, 0.0000, 0.7500)
Pt (0.2500, 0.5000, 0.0000)
Pt (0.7500, 0.5000, 0.0000)
Pt (0.0000, 0.2500, 0.5000)
Be (0.0000, 0.5000, 0.7500)
Be (0.2500, 0.0000, 0.5000)
Be (0.0000, 0.5000, 0.2500)
Be (0.7500, 0.0000, 0.5000)
Be (0.5000, 0.2500, 0.0000)
Be (0.5000, 0.7500, 0.0000)
La (0.5000, 0.5000, 0.5000)
La (0.0000, 0.0000, 0.0000)

* volume: 17.3 Å³ per atom
* calculated formation energy: -0.602 eV per atom
* energy: -5.49 eV per atom
* total moment: 0.00 μB/f.u.
* crystal system: cubic

---

## Li2PtBr (PBE)

Data for an optimized crystal structure of Li2PtBr.

Cell lengths 4.6951, 4.6951, 4.6951 Å; angles 125.15, 125.11, 81.32 degrees
Fractional positions:
Li (0.4997, 0.4997, 0.0000)
Li (0.0003, 0.0003, 0.0000)
Br (0.2500, 0.7500, 0.5000)
Pt (0.7500, 0.2500, 0.5000)

* volume: 16.7 Å³ per atom
* energy: -3.27 eV per atom
* total moment: 0.00 μB/f.u.
* polymorph energy (0 for the lowest one): 249 meV per atom
* crystal system: tetragonal
* uncorrected formation energy: -383 meV per atom

---

## AgSbPt2 (PBE)

Data for an optimized crystal structure of AgSbPt2.

Cell lengths 8.7357, 8.7357, 8.7357 Å; angles 21.23, 21.23, 21.23 degrees
Fractional positions:
Pt (0.2497, 0.2497, 0.2497)
Pt (0.9960, 0.9960, 0.9960)
Ag (0.7461, 0.7461, 0.7461)
Sb (0.5082, 0.5082, 0.5082)

* volume: 19.1 Å³ per atom
* energy: -4.65 eV per atom
* total moment: 0.00 μB/f.u.
* crystal system: trigonal
* uncorrected formation energy: 117 meV per atom

---

## CdSiMo2 (PBE)

Data for an optimized crystal structure of CdSiMo2.

Cell lengths 3.9368, 2.8481, 6.2143 Å; angles 71.23, 90.00, 90.00 degrees
Fractional positions:
Mo (0.0000, 0.4687, 0.4558)
Mo (0.0000, 0.0313, 0.0442)
Si (0.5000, 0.2500, 0.2500)
Cd (0.5000, 0.7500, 0.7500)

* volume: 16.5 Å³ per atom
* energy: -6.78 eV per atom
* total moment: 0.00 μB/f.u.
* polymorph energy (0 for the lowest one): 91 meV per atom
* crystal system: monoclinic
* uncorrected formation energy: 224 meV per atom

---

## Dy12Y2Th (PBE)

Data for an optimized crystal structure of Dy12Y2Th.

Cell lengths 6.6644, 6.6644, 24.6227 Å; angles 90.01, 90.00, 63.52 degrees
Fractional positions:
Y (0.0000, 0.5000, 0.7321)
Y (0.5000, 0.0000, 0.2679)
Y (0.0000, 0.5000, 0.2676)
Y (0.5000, 0.0000, 0.7324)
Dy (0.0000, 0.9999, 0.6740)
Dy (0.5001, 0.4999, 0.6740)
Dy (0.7510, 0.7490, 0.4129)
Dy (0.7515, 0.2512, 0.5626)
Dy (0.2500, 0.2500, 0.8736)
Dy (0.0000, 0.0000, 0.1992)
Dy (0.0000, 0.0000, 0.8008)
Dy (0.2488, 0.2512, 0.4129)
Dy (0.7501, 0.2500, 0.0767)
Dy (0.9999, 0.0001, 0.3260)
Dy (0.7501, 0.7499, 0.8736)
Dy (0.2512, 0.2488, 0.5871)
Dy (0.5000, 0.5000, 0.1992)
Dy (0.7499, 0.2500, 0.9233)
Dy (0.2488, 0.7485, 0.5626)
Dy (0.7490, 0.7510, 0.5871)
Dy (0.2500, 0.7501, 0.9233)
Dy (0.5000, 0.5000, 0.8008)
Dy (0.7499, 0.7501, 0.1264)
Dy (0.5000, 0.5001, 0.3260)
Dy (0.2512, 0.7515, 0.4374)
Dy (0.7485, 0.2488, 0.4374)
Dy (0.2500, 0.7499, 0.0767)
Dy (0.2500, 0.2500, 0.1264)
Th (0.5000, 0.0000, 0.0000)
Th (0.0000, 0.5000, 0.0000)

* volume: 32.6 Å³ per atom
* calculated formation energy: 0.177 eV per atom
* energy: -4.86 eV per atom
* total moment: 0.00 μB/f.u.
* crystal system: orthorhombic

---

## KCr3S5 (PBE)

Data for an optimized crystal structure of KCr3S5.

Cell lengths 9.8412, 9.8412, 12.2278 Å; angles 57.11, 57.11, 20.70 degrees
Last column: magnetic moment on the atom in μB.
Fractional positions:
Cr (0.5000, 0.5000, 0.0000)  2.92
Cr (0.1636, 0.1636, 0.6116)  2.88
Cr (0.5000, 0.5000, 0.5000)  2.91
Cr (0.0219, 0.0219, 0.2243)  2.92
Cr (0.9781, 0.9781, 0.7757)  2.92
Cr (0.8364, 0.8364, 0.3884)  2.88
K (0.2538, 0.2538, 0.8252)  0.00
K (0.7462, 0.7462, 0.1748)  0.00
S (0.4037, 0.4037, 0.9258)  -0.09
S (0.5723, 0.5723, 0.6111)  -0.07
S (0.0722, 0.0722, 0.8478)  -0.07
S (0.9278, 0.9278, 0.1522)  -0.07
S (0.7427, 0.7427, 0.6170)  -0.10
S (0.4277, 0.4277, 0.3889)  -0.07
S (0.9173, 0.9173, 0.6526)  -0.07
S (0.0827, 0.0827, 0.3474)  -0.07
S (0.2573, 0.2573, 0.3830)  -0.10
S (0.5963, 0.5963, 0.0742)  -0.09

* volume: 19.4 Å³ per atom
* energy: -6.46 eV per atom
* total moment: 9.00 μB/f.u.
* crystal system: monoclinic
* uncorrected formation energy: -838 meV per atom

---

## CdFeCoSi2 (PBE)

Data for an optimized crystal structure of CdFeCoSi2.

Cell lengths 4.2402, 4.7626, 4.2402 Å; angles 90.00, 90.00, 90.00 degrees
Last column: magnetic moment on the atom in μB.
Fractional positions:
Cd (0.5000, 0.5000, 0.5000)  -0.04
Si (0.5000, 0.0000, 0.0000)  0.00
Si (0.0000, 0.0000, 0.5000)  0.00
Co (0.0000, 0.0000, 0.0000)  0.12
Fe (0.0000, 0.5000, 0.0000)  2.94

* volume: 17.1 Å³ per atom
* energy: -5.07 eV per atom
* total moment: 2.96 μB/f.u.
* polymorph energy (0 for the lowest one): 0 meV per atom
* crystal system: tetragonal
* uncorrected formation energy: 398 meV per atom